The following is a DFT calculation (GGA-PBE) of crystalline Gd2MgCd at its relaxed geometry.

Output
**Final energy**: -0.2313 Ry per atom

a b c (Å): 7.243 10.980 5.376
angles (deg): 90.00 90.00 90.00
Space group Cmcm (No. 63)
Symmetry-distinct sites (fractional):
Gd (0.245, 0.113, 0.250) [8 per cell]
Mg (0.000, 0.365, 0.250) [4 per cell]
Cd (0.000, 0.149, 0.750) [4 per cell]